Computed, not measured: K2Bi2I7 after structural relaxation at the PBE-GGA level of DFT.

Its volume is 657.4 Å³ per cell. The uncorrected formation energy comes out at -0.703 eV/atom. The total energy is -2.595 eV/atom. As for the space-group type: C2/m (12).

a = 9.3047 Å, b = 9.3047 Å, c = 8.0733 Å
α = 93.59°, β = 93.59°, γ = 108.91°
Fractional positions:
K1 0.2000 0.8000 0.0000
K2 0.8000 0.2000 0.0000
Bi1 0.2285 0.2285 0.5999
Bi2 0.7715 0.7715 0.4001
I1 0.0814 0.0814 0.2600
I2 0.0824 0.4362 0.7705
I3 0.4362 0.0824 0.7705
I4 0.5000 0.5000 0.5000
I5 0.5638 0.9176 0.2295
I6 0.9176 0.5638 0.2295
I7 0.9186 0.9186 0.7400

Computed, not measured: Pm12Er5Mg after structural relaxation at the PBE-GGA level of DFT.

Its volume is 593.2 Å³ per cell. The total energy is -4.440 eV/atom. The value obtained for the calculated formation energy is 83 meV per atom. As for the space-group type: Cmmm (65).

a = 10.5148 Å, b = 10.5148 Å, c = 5.8657 Å
α = 90.00°, β = 90.00°, γ = 113.84°
Fractional positions:
Pm1 0.0029 0.3251 0.5000
Pm2 0.1499 0.1499 0.0000
Pm3 0.1817 0.4950 0.0000
Pm4 0.3251 0.0029 0.5000
Pm5 0.3470 0.3470 0.5000
Pm6 0.4950 0.1817 0.0000
Pm7 0.5050 0.8183 0.0000
Pm8 0.6530 0.6530 0.5000
Pm9 0.6749 0.9971 0.5000
Pm10 0.8183 0.5050 0.0000
Pm11 0.8501 0.8501 0.0000
Pm12 0.9971 0.6749 0.5000
Er1 0.0000 0.0000 0.5000
Er2 0.1761 0.8239 0.0000
Er3 0.3252 0.6748 0.5000
Er4 0.6748 0.3252 0.5000
Er5 0.8239 0.1761 0.0000
Mg1 0.5000 0.5000 0.0000

Computed, not measured: Ta2InCo after structural relaxation at the PBE-GGA level of DFT.

Its volume is 136.6 Å³ per cell. The total energy is -8.156 eV/atom. The value obtained for the calculated formation energy is 231 meV per atom. As for the space-group type: Cmmm (65).

a = 5.6536 Å, b = 8.1902 Å, c = 2.9502 Å
α = 90.00°, β = 90.00°, γ = 90.00°
Fractional positions:
Ta1 0.2500 0.2500 0.0000
Ta2 0.2500 0.7500 0.0000
Ta3 0.7500 0.2500 0.0000
Ta4 0.7500 0.7500 0.0000
In1 0.0000 0.0000 0.5000
In2 0.5000 0.5000 0.5000
Co1 0.0000 0.5000 0.5000
Co2 0.5000 0.0000 0.5000

Computed, not measured: Ti6CdSn after structural relaxation at the PBE-GGA level of DFT.

Its volume is 143.4 Å³ per cell. The total energy is -6.676 eV/atom. The value obtained for the calculated formation energy is -140 meV per atom. As for the space-group type: P-6m2 (187).

a = 5.8869 Å, b = 5.8869 Å, c = 4.7769 Å
α = 90.00°, β = 90.00°, γ = 120.00°
Fractional positions:
Ti1 0.0006 0.5003 0.0000
Ti2 0.1704 0.3408 0.5000
Ti3 0.1704 0.8296 0.5000
Ti4 0.4997 0.5003 0.0000
Ti5 0.4997 0.9994 0.0000
Ti6 0.6592 0.8296 0.5000
Cd1 0.0000 0.0000 0.0000
Sn1 0.6667 0.3333 0.5000

Computed, not measured: Sm2SiSe4 after structural relaxation at the PBE-GGA level of DFT.

Its volume is 504.8 Å³ per cell. The uncorrected formation energy comes out at -0.997 eV/atom. The total energy is -5.111 eV/atom. As for the space-group type: I-42m (121).

a = 6.5594 Å, b = 6.5594 Å, c = 11.7317 Å
α = 90.00°, β = 90.00°, γ = 90.00°
Fractional positions:
Sm1 0.0000 0.5000 0.2500
Sm2 0.0000 0.5000 0.7500
Sm3 0.5000 0.0000 0.2500
Sm4 0.5000 0.0000 0.7500
Si1 0.0000 0.0000 0.0000
Si2 0.5000 0.5000 0.5000
Se1 0.2386 0.2386 0.1147
Se2 0.2386 0.7614 0.8853
Se3 0.2614 0.2614 0.6147
Se4 0.2614 0.7386 0.3853
Se5 0.7386 0.2614 0.3853
Se6 0.7386 0.7386 0.6147
Se7 0.7614 0.2386 0.8853
Se8 0.7614 0.7614 0.1147

Computed, not measured: Er4ScCd after structural relaxation at the PBE-GGA level of DFT.

Its volume is 343.9 Å³ per cell. The total energy is -4.209 eV/atom. The value obtained for the calculated formation energy is 40 meV per atom. As for the space-group type: C2/c (15).

a = 8.1411 Å, b = 8.1411 Å, c = 6.1586 Å
α = 99.89°, β = 99.89°, γ = 116.88°
Fractional positions:
Er1 0.0944 0.7098 0.9581
Er2 0.1727 0.4073 0.6223
Er3 0.2902 0.9056 0.5419
Er4 0.4073 0.1727 0.1223
Er5 0.5927 0.8273 0.8777
Er6 0.7098 0.0944 0.4581
Er7 0.8273 0.5927 0.3777
Er8 0.9056 0.2902 0.0419
Sc1 0.4065 0.5935 0.2500
Sc2 0.5935 0.4065 0.7500
Cd1 0.0003 0.9997 0.2500
Cd2 0.9997 0.0003 0.7500

Computed, not measured: Tb8PdRh2 after structural relaxation at the PBE-GGA level of DFT.

Its volume is 300.9 Å³ per cell. The total energy is -5.587 eV/atom. The value obtained for the calculated formation energy is -411 meV per atom. As for the space-group type: Cm (8).

a = 7.5683 Å, b = 7.5683 Å, c = 6.0243 Å
α = 99.96°, β = 99.96°, γ = 113.29°
Fractional positions:
Tb1 0.0000 0.0000 0.0000
Tb2 0.0237 0.2846 0.5846
Tb3 0.1462 0.5845 0.1816
Tb4 0.2846 0.0237 0.5846
Tb5 0.4438 0.7045 0.7863
Tb6 0.5845 0.1462 0.1816
Tb7 0.7045 0.4438 0.7863
Tb8 0.7295 0.7295 0.3644
Pd1 0.3627 0.3627 0.0273
Rh1 0.0542 0.6731 0.6813
Rh2 0.6731 0.0542 0.6813

Computed, not measured: DyZnInF6 after structural relaxation at the PBE-GGA level of DFT.

Its volume is 167.4 Å³ per cell. The uncorrected formation energy comes out at -2.933 eV/atom. The total energy is -5.138 eV/atom. As for the space-group type: P312 (149).

a = 5.7921 Å, b = 5.7921 Å, c = 5.7617 Å
α = 90.00°, β = 90.00°, γ = 120.00°
Fractional positions:
Dy1 0.0000 0.0000 0.0000
Zn1 0.3333 0.6667 0.0000
In1 0.6667 0.3333 0.5000
F1 0.0548 0.3482 0.1987
F2 0.0548 0.7065 0.8013
F3 0.2935 0.3482 0.8013
F4 0.2935 0.9452 0.1987
F5 0.6518 0.7065 0.1987
F6 0.6518 0.9452 0.8013

Computed, not measured: SrPa4Tc3N12 after structural relaxation at the PBE-GGA level of DFT.

Its volume is 280.4 Å³ per cell. The uncorrected formation energy comes out at -0.613 eV/atom. The total energy is -9.147 eV/atom. As for the space-group type: Im-3 (204).

a = 7.1418 Å, b = 7.1418 Å, c = 7.1418 Å
α = 109.47°, β = 109.47°, γ = 109.47°
Fractional positions:
Sr1 0.0000 0.0000 0.0000
Pa1 0.0000 0.0000 0.5000
Pa2 0.0000 0.5000 0.0000
Pa3 0.5000 0.0000 0.0000
Pa4 0.5000 0.5000 0.5000
Tc1 0.0000 0.5000 0.5000
Tc2 0.5000 0.0000 0.5000
Tc3 0.5000 0.5000 0.0000
N1 0.1594 0.8367 0.3228
N2 0.1633 0.3228 0.4861
N3 0.1633 0.6772 0.8406
N4 0.3228 0.1594 0.8367
N5 0.3228 0.4861 0.1633
N6 0.4861 0.1633 0.3228
N7 0.5139 0.8367 0.6772
N8 0.6772 0.5139 0.8367
N9 0.6772 0.8406 0.1633
N10 0.8367 0.3228 0.1594
N11 0.8367 0.6772 0.5139
N12 0.8406 0.1633 0.6772

Computed, not measured: Hg2SbRh after structural relaxation at the PBE-GGA level of DFT.

Its volume is 335.7 Å³ per cell. The uncorrected formation energy comes out at 0.282 eV/atom. The total energy is -2.737 eV/atom. As for the space-group type: F-43m (216).

a = 6.9501 Å, b = 6.9501 Å, c = 6.9501 Å
α = 90.00°, β = 90.00°, γ = 90.00°
Fractional positions:
Hg1 0.0000 0.0000 0.0000
Hg2 0.0000 0.5000 0.5000
Hg3 0.2500 0.2500 0.2500
Hg4 0.2500 0.7500 0.7500
Hg5 0.5000 0.0000 0.5000
Hg6 0.5000 0.5000 0.0000
Hg7 0.7500 0.2500 0.7500
Hg8 0.7500 0.7500 0.2500
Sb1 0.2500 0.2500 0.7500
Sb2 0.2500 0.7500 0.2500
Sb3 0.7500 0.2500 0.2500
Sb4 0.7500 0.7500 0.7500
Rh1 0.0000 0.0000 0.5000
Rh2 0.0000 0.5000 0.0000
Rh3 0.5000 0.0000 0.0000
Rh4 0.5000 0.5000 0.5000

Computed, not measured: KGaP2O7 after structural relaxation at the PBE-GGA level of DFT.

Its volume is 589.6 Å³ per cell. The uncorrected formation energy comes out at -2.198 eV/atom. The total energy is -6.712 eV/atom. As for the space-group type: P2_1/c (14).

a = 7.4436 Å, b = 9.9837 Å, c = 8.2929 Å
α = 90.00°, β = 106.91°, γ = 90.00°
Fractional positions:
K1 0.1772 0.1790 0.0566
K2 0.1772 0.3210 0.5566
K3 0.8228 0.6790 0.4434
K4 0.8228 0.8210 0.9434
Ga1 0.2383 0.6008 0.2596
Ga2 0.2383 0.8992 0.7596
Ga3 0.7617 0.1008 0.2404
Ga4 0.7617 0.3992 0.7404
P1 0.1293 0.5969 0.8305
P2 0.1293 0.9031 0.3305
P3 0.4384 0.6341 0.6906
P4 0.4384 0.8659 0.1906
P5 0.5616 0.1341 0.8094
P6 0.5616 0.3659 0.3094
P7 0.8707 0.0969 0.6695
P8 0.8707 0.4031 0.1695
O1 0.0085 0.5046 0.2782
O2 0.0085 0.9954 0.7782
O3 0.0798 0.7369 0.7525
O4 0.0798 0.7631 0.2525
O5 0.1432 0.5922 0.0148
O6 0.1432 0.9078 0.5148
O7 0.3202 0.6041 0.5114
O8 0.3202 0.8959 0.0114
O9 0.3338 0.5557 0.8113
O10 0.3338 0.9443 0.3113
O11 0.3626 0.0760 0.7632
O12 0.3626 0.4240 0.2632
O13 0.4521 0.7173 0.2434
O14 0.4521 0.7827 0.7434
O15 0.5479 0.2173 0.2566
O16 0.5479 0.2827 0.7566
O17 0.6374 0.5760 0.7368
O18 0.6374 0.9240 0.2368
O19 0.6662 0.0557 0.6887
O20 0.6662 0.4443 0.1887
O21 0.6798 0.1041 0.9886
O22 0.6798 0.3959 0.4886
O23 0.8568 0.0922 0.4852
O24 0.8568 0.4078 0.9852
O25 0.9202 0.2369 0.7475
O26 0.9202 0.2631 0.2475
O27 0.9915 0.0046 0.2218
O28 0.9915 0.4954 0.7218

Computed, not measured: Sr12MgTl6 after structural relaxation at the PBE-GGA level of DFT.

Its volume is 751.3 Å³ per cell. The total energy is -2.080 eV/atom. The value obtained for the calculated formation energy is -187 meV per atom. As for the space-group type: R-3 (148).

a = 9.1001 Å, b = 9.1001 Å, c = 9.1001 Å
α = 87.37°, β = 87.37°, γ = 87.37°
Fractional positions:
Sr1 0.0557 0.3024 0.9336
Sr2 0.0664 0.9443 0.6976
Sr3 0.1434 0.3563 0.5042
Sr4 0.3024 0.9336 0.0557
Sr5 0.3563 0.5042 0.1434
Sr6 0.4958 0.8566 0.6437
Sr7 0.5042 0.1434 0.3563
Sr8 0.6437 0.4958 0.8566
Sr9 0.6976 0.0664 0.9443
Sr10 0.8566 0.6437 0.4958
Sr11 0.9336 0.0557 0.3024
Sr12 0.9443 0.6976 0.0664
Mg1 0.5000 0.5000 0.5000
Tl1 0.2216 0.7599 0.3962
Tl2 0.2401 0.6038 0.7784
Tl3 0.3962 0.2216 0.7599
Tl4 0.6038 0.7784 0.2401
Tl5 0.7599 0.3962 0.2216
Tl6 0.7784 0.2401 0.6038

Computed, not measured: Cs3NaH6Au2 after structural relaxation at the PBE-GGA level of DFT.

Its volume is 281.6 Å³ per cell. The total energy is -2.735 eV/atom. As for the space-group type: P-3m1 (164).

a = 6.5213 Å, b = 6.5213 Å, c = 7.6453 Å
α = 90.00°, β = 90.00°, γ = 120.00°
Fractional positions:
Cs1 0.0000 0.0000 0.0000
Cs2 0.3333 0.6667 0.7236
Cs3 0.6667 0.3333 0.2764
Na1 0.0000 0.0000 0.5000
H1 0.1781 0.3562 0.2927
H2 0.1781 0.8219 0.2927
H3 0.3562 0.1781 0.7073
H4 0.6438 0.8219 0.2927
H5 0.8219 0.1781 0.7073
H6 0.8219 0.6438 0.7073
Au1 0.3333 0.6667 0.2850
Au2 0.6667 0.3333 0.7150

Computed, not measured: Mg2TlSb after structural relaxation at the PBE-GGA level of DFT.

Its volume is 99.0 Å³ per cell. The uncorrected formation energy comes out at -0.110 eV/atom. The total energy is -2.530 eV/atom. As for the space-group type: P2/m (10).

a = 3.3760 Å, b = 4.2004 Å, c = 6.9830 Å
α = 90.00°, β = 91.33°, γ = 90.00°
Fractional positions:
Mg1 0.0048 0.0000 0.2529
Mg2 0.9952 0.0000 0.7471
Tl1 0.5000 0.5000 0.0000
Sb1 0.5000 0.5000 0.5000

Computed, not measured: Th3Zr2Sc4 after structural relaxation at the PBE-GGA level of DFT.

Its volume is 475.8 Å³ per cell. The total energy is -7.069 eV/atom. The value obtained for the calculated formation energy is 117 meV per atom. As for the space-group type: C2/c (15).

a = 7.3770 Å, b = 7.3770 Å, c = 8.9518 Å
α = 97.12°, β = 97.12°, γ = 96.34°
Fractional positions:
Th1 0.1213 0.8787 0.7500
Th2 0.2061 0.4619 0.2482
Th3 0.4619 0.2061 0.7482
Th4 0.5381 0.7939 0.2518
Th5 0.7939 0.5381 0.7518
Th6 0.8787 0.1213 0.2500
Zr1 0.0168 0.7628 0.0829
Zr2 0.2372 0.9832 0.4171
Zr3 0.7628 0.0168 0.5829
Zr4 0.9832 0.2372 0.9171
Sc1 0.0976 0.3403 0.5831
Sc2 0.3143 0.5695 0.9181
Sc3 0.3403 0.0976 0.0831
Sc4 0.4305 0.6857 0.5819
Sc5 0.5695 0.3143 0.4181
Sc6 0.6597 0.9024 0.9169
Sc7 0.6857 0.4305 0.0819
Sc8 0.9024 0.6597 0.4169

Computed, not measured: PaNb after structural relaxation at the PBE-GGA level of DFT.

Its volume is 91.0 Å³ per cell. The total energy is -9.476 eV/atom. The value obtained for the calculated formation energy is 307 meV per atom. As for the space-group type: P2_1/m (11).

a = 5.3790 Å, b = 3.1823 Å, c = 5.4689 Å
α = 90.00°, β = 103.64°, γ = 90.00°
Fractional positions:
Pa1 0.1934 0.2500 0.3098
Pa2 0.8066 0.7500 0.6902
Nb1 0.3174 0.7500 0.8285
Nb2 0.6826 0.2500 0.1715

Computed, not measured: Y2Sc3Ga4 after structural relaxation at the PBE-GGA level of DFT.

Its volume is 397.9 Å³ per cell. The total energy is -5.532 eV/atom. The value obtained for the calculated formation energy is -639 meV per atom. As for the space-group type: P2_1/c (14).

a = 7.5762 Å, b = 7.5745 Å, c = 7.2879 Å
α = 90.00°, β = 107.94°, γ = 90.00°
Fractional positions:
Y1 0.1938 0.1771 0.0721
Y2 0.1938 0.3229 0.5721
Y3 0.8062 0.6771 0.4279
Y4 0.8062 0.8229 0.9279
Sc1 0.2468 0.6759 0.2483
Sc2 0.2468 0.8241 0.7483
Sc3 0.5000 0.0000 0.5000
Sc4 0.5000 0.5000 0.0000
Sc5 0.7532 0.1759 0.2517
Sc6 0.7532 0.3241 0.7517
Ga1 0.0798 0.5335 0.8639
Ga2 0.0798 0.9665 0.3639
Ga3 0.4956 0.1224 0.8726
Ga4 0.4956 0.3776 0.3726
Ga5 0.5044 0.6224 0.6274
Ga6 0.5044 0.8776 0.1274
Ga7 0.9202 0.0335 0.6361
Ga8 0.9202 0.4665 0.1361

Computed, not measured: Na2Cd2Bi after structural relaxation at the PBE-GGA level of DFT.

Its volume is 277.5 Å³ per cell. The total energy is -1.778 eV/atom. The value obtained for the calculated formation energy is -108 meV per atom. As for the space-group type: P4/mbm (127).

a = 8.2442 Å, b = 8.2442 Å, c = 4.0832 Å
α = 90.00°, β = 90.00°, γ = 90.00°
Fractional positions:
Na1 0.1749 0.3251 0.0000
Na2 0.3251 0.8251 0.0000
Na3 0.6749 0.1749 0.0000
Na4 0.8251 0.6749 0.0000
Cd1 0.1232 0.6232 0.5000
Cd2 0.3768 0.1232 0.5000
Cd3 0.6232 0.8768 0.5000
Cd4 0.8768 0.3768 0.5000
Bi1 0.0000 0.0000 0.5000
Bi2 0.5000 0.5000 0.5000

Computed, not measured: Pm2ZnGe2Rh5 after structural relaxation at the PBE-GGA level of DFT.

Its volume is 348.5 Å³ per cell. The total energy is -6.372 eV/atom. The value obtained for the calculated formation energy is -695 meV per atom. As for the space-group type: P4/mbm (127).

a = 9.8832 Å, b = 9.8832 Å, c = 3.5680 Å
α = 90.00°, β = 90.00°, γ = 90.00°
Fractional positions:
Pm1 0.1741 0.3259 0.0000
Pm2 0.3259 0.8259 0.0000
Pm3 0.6741 0.1741 0.0000
Pm4 0.8259 0.6741 0.0000
Zn1 0.0000 0.0000 0.0000
Zn2 0.5000 0.5000 0.0000
Ge1 0.1252 0.6252 0.0000
Ge2 0.3748 0.1252 0.0000
Ge3 0.6252 0.8748 0.0000
Ge4 0.8748 0.3748 0.0000
Rh1 0.0000 0.5000 0.5000
Rh2 0.0653 0.7932 0.5000
Rh3 0.2068 0.0653 0.5000
Rh4 0.2932 0.5653 0.5000
Rh5 0.4347 0.2932 0.5000
Rh6 0.5000 0.0000 0.5000
Rh7 0.5653 0.7068 0.5000
Rh8 0.7068 0.4347 0.5000
Rh9 0.7932 0.9347 0.5000
Rh10 0.9347 0.2068 0.5000

Computed, not measured: GaCo2MoH after structural relaxation at the PBE-GGA level of DFT.

Its volume is 53.0 Å³ per cell. The total energy is -6.266 eV/atom. As for the space-group type: P4/mmm (123).

a = 3.7016 Å, b = 3.7016 Å, c = 3.8697 Å
α = 90.00°, β = 90.00°, γ = 90.00°
Fractional positions:
Ga1 0.0000 0.0000 0.0000
Co1 0.0000 0.5000 0.5000
Co2 0.5000 0.0000 0.5000
Mo1 0.5000 0.5000 0.0000
H1 0.5000 0.5000 0.5000